Entry 1:
This record from Alexandria describes crystalline CaSc2Pt2 at its relaxed geometry. The functional is PBE.

abc: 7.8182 7.8182 3.4421
angles: 90.00 90.00 90.00
Sites, in units of the cell vectors:
1 Ca 0.0000 0.0000 0.0000
2 Ca 0.5000 0.5000 0.0000
3 Sc 0.1467 0.3533 0.5000
4 Sc 0.3533 0.8533 0.5000
5 Sc 0.6467 0.1467 0.5000
6 Sc 0.8533 0.6467 0.5000
7 Pt 0.1408 0.6408 0.0000
8 Pt 0.3592 0.1408 0.0000
9 Pt 0.6408 0.8592 0.0000
10 Pt 0.8592 0.3592 0.0000


Entry 2:
This record from Alexandria describes crystalline CaSc2Pt2 at its relaxed geometry. The functional is PBE.

abc: 6.1503 6.1503 6.1503
angles: 132.89 132.89 68.82
Sites, in units of the cell vectors:
1 Ca 0.0000 0.0000 0.0000
2 Sc 0.3437 0.3437 0.0000
3 Sc 0.6563 0.6563 0.0000
4 Pt 0.2500 0.7500 0.5000
5 Pt 0.7500 0.2500 0.5000


Number 1: ΔH_f (0 K) -0.96 eV per atom, calculated volume 210 Å³ per cell. Number 2: ΔH_f (0 K) -0.69 eV per atom, calculated volume 123 Å³ per cell.